[1]
! LiBe2Si (PBEsol, optimized geometry); values from VASP
! - uncorrected energy (eV/atom) = -3.64
! - crystal system = trigonal
&SYSTEM
  ibrav = 0, nat = 4, ntyp = 3
/
ATOMIC_SPECIES
Si 28.09 Si.upf
Be 9.01 Be.upf
Li 6.94 Li.upf
CELL_PARAMETERS angstrom
2.540 0.000 0.000
1.270 2.200 0.000
1.270 0.733 7.950
ATOMIC_POSITIONS angstrom
Si 0.000 0.000 0.000
Be 3.810 2.200 6.045
Be 1.270 0.733 1.905
Li 2.540 1.467 3.975

[2]
! LiBe2Si (PBEsol, optimized geometry); values from VASP
! - uncorrected energy (eV/atom) = -3.73
! - crystal system = cubic
&SYSTEM
  ibrav = 0, nat = 4, ntyp = 3
/
ATOMIC_SPECIES
Be 9.01 Be.upf
Li 6.94 Li.upf
Si 28.09 Si.upf
CELL_PARAMETERS angstrom
-3.327 1.806 0.978
-3.361 -1.997 0.072
-1.727 -0.799 3.416
ATOMIC_POSITIONS angstrom
Be -6.311 -0.742 3.350
Be 0.000 0.000 0.000
Li -4.207 -0.495 2.233
Si -2.104 -0.247 1.117

[3]
! Li4BeSi (PBEsol, optimized geometry); values from VASP
! - uncorrected energy (eV/atom) = -2.64
! - crystal system = cubic
&SYSTEM
  ibrav = 0, nat = 6, ntyp = 3
/
ATOMIC_SPECIES
Li 6.94 Li.upf
Si 28.09 Si.upf
Be 9.01 Be.upf
CELL_PARAMETERS angstrom
-0.621 1.685 4.452
-1.442 -2.949 3.503
3.050 -1.255 3.489
ATOMIC_POSITIONS angstrom
Li 0.061 -0.107 6.514
Li -0.348 -2.414 6.042
Li 1.889 -1.571 6.035
Li 0.371 -0.946 4.297
Si 0.740 -1.890 8.583
Be 0.000 0.000 0.000

no.,ΔE_f (raw) (eV/atom)
1,0.2918
2,0.1996
3,0.2920